# Ag2Pd4Au | Alexandria | PBE | relaxed
# Magnetization: 0.000 μB/cell
# Offset from the most stable computed form: 0 meV per atom
data_Ag2Pd4Au
_symmetry_space_group_name_H-M 'I -4 2 d'
_symmetry_Int_Tables_number 122
_symmetry_space_group_name_Hall 'I -4 2bw'
_cell_length_a 7.928
_cell_length_b 7.928
_cell_length_c 7.916
_cell_angle_alpha 90.00
_cell_angle_beta 90.00
_cell_angle_gamma 90.00
loop_
_atom_site_label
_atom_site_type_symbol
_atom_site_fract_x
_atom_site_fract_y
_atom_site_fract_z
Ag1 Ag 0.123 0.750 0.125
Pd1 Pd 0.083 0.668 0.459
Au1 Au 0.000 0.000 0.500



# Pu2MgBePd6 | Alexandria | PBE | relaxed
# Energy: -68.97 eV per formula unit
# Magnetization: 21.349 μB/cell
data_Pu2MgBePd6
_symmetry_space_group_name_H-M 'C 1 2/m 1'
_symmetry_Int_Tables_number 12
_symmetry_space_group_name_Hall '-C 2y'
_cell_length_a 10.200
_cell_length_b 5.891
_cell_length_c 7.349
_cell_angle_alpha 90.00
_cell_angle_beta 117.50
_cell_angle_gamma 90.00
loop_
_atom_site_label
_atom_site_type_symbol
_atom_site_fract_x
_atom_site_fract_y
_atom_site_fract_z
Pu1 Pu 0.250 0.000 0.248
Mg1 Mg 0.000 0.500 0.000
Be1 Be 0.000 0.000 0.500
Pd1 Pd 0.025 0.261 0.313
Pd2 Pd 0.237 0.000 0.688



# Ba2HgAu | Alexandria | PBE | relaxed
# Energy: -9.65 eV per formula unit
# Magnetization: 0.000 μB/cell
data_Ba2HgAu
_symmetry_space_group_name_H-M 'R -3 m'
_symmetry_Int_Tables_number 166
_symmetry_space_group_name_Hall '-R 3 2"'
_cell_length_a 4.8150
_cell_length_b 4.8150
_cell_length_c 24.5594
_cell_angle_alpha 90.00
_cell_angle_beta 90.00
_cell_angle_gamma 120.00
loop_
_atom_site_label
_atom_site_type_symbol
_atom_site_fract_x
_atom_site_fract_y
_atom_site_fract_z
Ba1 Ba 0.0000 0.0000 0.2424
Hg1 Hg 0.0000 0.0000 0.0000
Au1 Au 0.0000 0.0000 0.5000



# Tb2HgPb2 | Alexandria | PBE | relaxed
# Magnetization: 0.000 μB/cell
# Offset from the most stable computed form: 78 meV per atom
data_Tb2HgPb2
_symmetry_space_group_name_H-M 'P 63/m m c'
_symmetry_Int_Tables_number 194
_symmetry_space_group_name_Hall '-P 6c 2c'
_cell_length_a 5.0770
_cell_length_b 5.0770
_cell_length_c 12.8234
_cell_angle_alpha 90.00
_cell_angle_beta 90.00
_cell_angle_gamma 120.00
loop_
_atom_site_label
_atom_site_type_symbol
_atom_site_fract_x
_atom_site_fract_y
_atom_site_fract_z
Tb1 Tb 0.3333 0.6667 0.1021
Hg1 Hg 0.0000 0.0000 0.2500
Pb1 Pb 0.0000 0.0000 0.0000
Pb2 Pb 0.3333 0.6667 0.7500



# ZrMn2Fe | Alexandria | PBE | relaxed
# Magnetization: 2.485 μB/cell
# Offset from the most stable computed form: 0 meV per atom
data_ZrMn2Fe
_symmetry_space_group_name_H-M 'P 1 m 1'
_symmetry_Int_Tables_number 6
_symmetry_space_group_name_Hall 'P -2y'
_cell_length_a 3.053
_cell_length_b 3.040
_cell_length_c 6.175
_cell_angle_alpha 90.00
_cell_angle_beta 90.10
_cell_angle_gamma 90.00
loop_
_atom_site_label
_atom_site_type_symbol
_atom_site_fract_x
_atom_site_fract_y
_atom_site_fract_z
Zr1 Zr 0.000 0.000 0.000
Mn1 Mn 0.499 0.500 0.700
Mn2 Mn 0.999 0.000 0.492
Fe1 Fe 0.499 0.500 0.271



# Nd6SmHg | Alexandria | PBE | relaxed
# Energy: -34.16 eV per formula unit
# Magnetization: 0.000 μB/cell
data_Nd6SmHg
_symmetry_space_group_name_H-M 'P 4/m m m'
_symmetry_Int_Tables_number 123
_symmetry_space_group_name_Hall '-P 4 2'
_cell_length_a 5.022
_cell_length_b 5.022
_cell_length_c 10.346
_cell_angle_alpha 90.00
_cell_angle_beta 90.00
_cell_angle_gamma 90.00
loop_
_atom_site_label
_atom_site_type_symbol
_atom_site_fract_x
_atom_site_fract_y
_atom_site_fract_z
Nd1 Nd 0.000 0.000 0.000
Nd2 Nd 0.000 0.000 0.500
Nd3 Nd 0.000 0.500 0.243
Sm1 Sm 0.500 0.500 0.500
Hg1 Hg 0.500 0.500 0.000



# Mg2In3Pd4 | Alexandria | PBE | relaxed
# Energy: -37.16 eV per formula unit
# Magnetization: 0.000 μB/cell
data_Mg2In3Pd4
_symmetry_space_group_name_H-M 'C 1 2/m 1'
_symmetry_Int_Tables_number 12
_symmetry_space_group_name_Hall '-C 2y'
_cell_length_a 8.018
_cell_length_b 4.601
_cell_length_c 8.744
_cell_angle_alpha 90.00
_cell_angle_beta 90.40
_cell_angle_gamma 90.00
loop_
_atom_site_label
_atom_site_type_symbol
_atom_site_fract_x
_atom_site_fract_y
_atom_site_fract_z
Mg1 Mg 0.168 0.000 0.209
In1 In 0.000 0.500 0.000
In2 In 0.165 0.000 0.581
Pd1 Pd 0.002 0.500 0.324
Pd2 Pd 0.166 0.000 0.895